! K2TiBeS4 (PBE, optimized geometry); values from VASP
! Total magnetic moment in μB/f.u.: 0.00
! Formation energy from raw total energies in meV/atom: -1215
! Calculated density in g/cm³: 2.13
! Space-group type: I-4, No. 82
&SYSTEM
  ibrav = 0, nat = 8, ntyp = 4
/
ATOMIC_SPECIES
Be 9.01 Be.upf
S 32.06 S.upf
Ti 47.87 Ti.upf
K 39.10 K.upf
ATOMIC_POSITIONS angstrom
Be 3.345 0.002 4.454
S 1.608 4.202 0.964
S 5.075 2.482 0.962
Ti 3.342 3.343 2.160
K 0.002 3.344 4.452
K 0.001 0.001 2.161
S 2.484 1.611 3.359
S 4.205 -1.607 3.359
CELL_PARAMETERS angstrom
6.684 -0.001 -0.004
-0.002 6.684 -0.004
-3.338 -3.339 4.589

=====

! BaCa3Rh (PBE, optimized geometry); values from VASP
! Total magnetic moment in μB/f.u.: 0.00
! Calculated density in g/cm³: 3.24
! Distance to the lowest polymorph of the same formula in meV/atom: 69
! Formation enthalpy at 0 K in eV per formula unit: -0.8
! Space-group type: C2/m, No. 12
&SYSTEM
  ibrav = 0, nat = 10, ntyp = 3
/
ATOMIC_SPECIES
Ca 40.08 Ca.upf
Rh 102.91 Rh.upf
Ba 137.33 Ba.upf
ATOMIC_POSITIONS angstrom
Ca 2.657 -0.359 1.102
Rh -5.914 -2.979 18.810
Ca 0.172 -1.061 6.454
Ba 5.422 0.760 -3.577
Rh 2.026 -0.100 4.111
Ba -9.309 -3.839 26.498
Ca -1.303 -1.354 10.097
Ca -6.545 -2.720 21.818
Ca -4.060 -2.018 16.466
Ca -2.584 -1.725 12.824
CELL_PARAMETERS angstrom
-6.657 0.167 22.060
-3.536 -4.024 7.216
6.306 0.778 -6.355

=====

! Zr2MnAs (PBE, optimized geometry); values from VASP
! Total magnetic moment in μB/f.u.: 1.80
! Calculated density in g/cm³: 7.19
! Formation enthalpy at 0 K in eV per formula unit: -1.6
! Space-group type: Cmmm, No. 65
&SYSTEM
  ibrav = 0, nat = 4, ntyp = 3
/
ATOMIC_SPECIES
Mn 54.94 Mn.upf
Zr 91.22 Zr.upf
As 74.92 As.upf
ATOMIC_POSITIONS angstrom
Mn -0.430 2.263 1.729
Zr 0.000 0.000 0.000
As 2.303 0.000 1.729
Zr 1.873 2.263 0.000
CELL_PARAMETERS angstrom
4.606 0.001 0.000
-0.860 4.525 0.000
0.000 0.000 3.458

=====

! ZrAsN2O (PBE, optimized geometry); values from VASP
! Total magnetic moment in μB/f.u.: 0.00
! Formation energy from raw total energies in meV/atom: -174
! Calculated density in g/cm³: 6.37
! Space-group type: P4/mmm, No. 123
&SYSTEM
  ibrav = 0, nat = 5, ntyp = 4
/
ATOMIC_SPECIES
N 14.01 N.upf
Zr 91.22 Zr.upf
O 16.00 O.upf
As 74.92 As.upf
ATOMIC_POSITIONS angstrom
N 1.378 -1.296 -0.337
Zr 1.797 -1.533 2.289
O 1.108 0.863 1.210
N -0.689 -1.101 1.416
As 0.000 0.000 0.000
CELL_PARAMETERS angstrom
-1.378 -2.201 2.833
2.755 -2.592 -0.674
2.217 1.727 2.420

=====

! Cu2ReAu (PBE, optimized geometry); values from VASP
! Total magnetic moment in μB/f.u.: 0.00
! Calculated density in g/cm³: 14.85
! Distance to the lowest polymorph of the same formula in meV/atom: 72
! Formation enthalpy at 0 K in eV per formula unit: 1.1
! Space-group type: P4mm, No. 99
&SYSTEM
  ibrav = 0, nat = 4, ntyp = 3
/
ATOMIC_SPECIES
Cu 63.55 Cu.upf
Re 186.21 Re.upf
Au 196.97 Au.upf
ATOMIC_POSITIONS angstrom
Cu 0.464 0.116 2.646
Re 2.152 2.158 2.261
Cu 0.089 0.089 0.093
Au 2.806 2.465 5.107
CELL_PARAMETERS angstrom
-2.053 0.257 1.708
0.818 -2.192 1.313
4.496 4.509 4.725

=====

! NdTm4Co (PBE, optimized geometry); values from VASP
! Total magnetic moment in μB/f.u.: 0.00
! Calculated density in g/cm³: 9.05
! Formation enthalpy at 0 K in eV per formula unit: -0.4
! Space-group type: C2/m, No. 12
&SYSTEM
  ibrav = 0, nat = 6, ntyp = 3
/
ATOMIC_SPECIES
Nd 144.24 Nd.upf
Tm 168.93 Tm.upf
Co 58.93 Co.upf
ATOMIC_POSITIONS angstrom
Nd 0.000 0.000 0.000
Tm -5.849 3.473 -4.014
Co -4.600 1.655 -2.422
Tm -7.311 0.625 -3.374
Tm -3.351 -0.163 -0.831
Tm -1.889 2.685 -1.471
CELL_PARAMETERS angstrom
-0.077 5.760 -2.224
-0.994 -0.241 -3.354
-8.129 -2.210 0.733

=====

! Pu6NbO12 (PBE, optimized geometry); values from VASP
! Total magnetic moment in μB/f.u.: 29.00
! Formation energy from raw total energies in meV/atom: -3005
! Calculated density in g/cm³: 10.52
! Space-group type: R-3, No. 148
&SYSTEM
  ibrav = 0, nat = 19, ntyp = 3
/
ATOMIC_SPECIES
O 16.00 O.upf
Pu 244.00 Pu.upf
Nb 92.91 Nb.upf
ATOMIC_POSITIONS angstrom
O -2.860 -2.842 1.653
O -5.509 0.826 2.440
Pu -6.598 -0.326 0.850
O -4.568 3.620 2.275
O -3.330 1.102 6.101
Pu -4.867 -0.005 4.546
O -4.011 -2.031 4.095
O -5.519 -2.418 0.821
O -2.850 0.402 3.272
Nb 0.000 0.000 0.000
O -3.801 -5.636 1.818
O -4.358 0.015 -0.001
O -1.513 -3.181 5.171
Pu -1.772 -1.690 3.243
Pu -3.433 1.604 1.468
Pu -3.502 -2.011 -0.453
O -6.856 1.164 -1.078
Pu -4.936 -3.620 2.625
O -5.039 -3.119 -2.007
CELL_PARAMETERS angstrom
-3.178 4.778 3.255
-4.968 -2.104 -3.796
-0.223 -4.690 4.634

=====

! Li2CoAg (PBE, optimized geometry); values from VASP
! Total magnetic moment in μB/f.u.: 1.20
! Calculated density in g/cm³: 5.30
! Formation enthalpy at 0 K in eV per formula unit: 0.7
! Space-group type: Cmmm, No. 65
&SYSTEM
  ibrav = 0, nat = 4, ntyp = 3
/
ATOMIC_SPECIES
Li 6.94 Li.upf
Co 58.93 Co.upf
Ag 107.87 Ag.upf
ATOMIC_POSITIONS angstrom
Li 0.000 0.000 0.000
Li 0.904 -2.261 1.211
Co 1.493 0.184 2.282
Ag -1.775 -1.715 1.176
CELL_PARAMETERS angstrom
-2.364 -4.159 0.104
4.171 -0.362 2.318
-1.185 0.730 2.247

=====

! CeSc5Hg4 (PBE, optimized geometry); values from VASP
! Total magnetic moment in μB/f.u.: 0.17
! Calculated density in g/cm³: 8.53
! Formation enthalpy at 0 K in eV per formula unit: -3.3
! Space-group type: P4/mmm, No. 123
&SYSTEM
  ibrav = 0, nat = 10, ntyp = 3
/
ATOMIC_SPECIES
Hg 200.59 Hg.upf
Sc 44.96 Sc.upf
Ce 140.12 Ce.upf
ATOMIC_POSITIONS angstrom
Hg 0.669 -4.204 6.163
Sc 0.202 -5.257 3.347
Ce 0.000 0.000 0.000
Hg 0.348 -2.189 3.209
Hg 0.986 -6.197 9.083
Hg 1.307 -8.212 12.037
Sc -0.117 -3.255 0.412
Sc 0.835 -9.234 9.176
Sc 0.518 -7.245 6.262
Sc 1.153 -11.236 12.111
CELL_PARAMETERS angstrom
-2.756 -1.912 -1.005
2.137 -2.177 -1.717
1.655 -10.401 15.246

=====

! Te2MoP (PBE, optimized geometry); values from VASP
! Total magnetic moment in μB/f.u.: 0.00
! Formation energy from raw total energies in meV/atom: -64
! Calculated density in g/cm³: 6.04
! Space-group type: Cm, No. 8
&SYSTEM
  ibrav = 0, nat = 4, ntyp = 3
/
ATOMIC_SPECIES
P 30.97 P.upf
Te 127.60 Te.upf
Mo 95.94 Mo.upf
ATOMIC_POSITIONS angstrom
P 0.000 6.722 5.030
Te 0.000 8.317 6.925
Mo 0.000 4.358 4.577
Te 0.000 1.943 2.729
CELL_PARAMETERS angstrom
1.742 3.976 0.058
-1.742 3.976 0.058
0.000 0.584 7.589

=====

! LaZnSb (PBE, optimized geometry); values from VASP
! Total magnetic moment in μB/f.u.: 0.00
! Formation energy from raw total energies in meV/atom: -711
! Calculated density in g/cm³: 6.22
! Space-group type: C2/m, No. 12
&SYSTEM
  ibrav = 0, nat = 6, ntyp = 3
/
ATOMIC_SPECIES
Sb 121.76 Sb.upf
Zn 65.41 Zn.upf
La 138.91 La.upf
ATOMIC_POSITIONS angstrom
Sb 2.240 -1.068 6.399
Zn 2.240 0.450 2.810
Sb 0.000 -0.819 2.080
La 2.240 -4.247 7.692
La 0.000 2.361 0.786
Zn 0.000 -2.336 5.668
CELL_PARAMETERS angstrom
4.481 0.000 0.000
-2.240 5.181 -2.670
0.000 -7.067 11.148

=====

! LiCeGaPt (PBE, optimized geometry); values from VASP
! Total magnetic moment in μB/f.u.: 0.06
! Calculated density in g/cm³: 9.25
! Formation enthalpy at 0 K in eV per formula unit: -2.7
! Space-group type: F-43m, No. 216
&SYSTEM
  ibrav = 0, nat = 4, ntyp = 4
/
ATOMIC_SPECIES
Ga 69.72 Ga.upf
Pt 195.08 Pt.upf
Li 6.94 Li.upf
Ce 140.12 Ce.upf
ATOMIC_POSITIONS angstrom
Ga -2.018 -4.787 2.509
Pt -3.027 -7.181 3.763
Li -1.009 -2.394 1.254
Ce 0.000 0.000 0.000
CELL_PARAMETERS angstrom
-2.785 -3.757 -0.565
1.195 -4.129 1.927
-2.446 -1.689 3.654

=====

! Tb5Dy4Tm3 (PBE, optimized geometry); values from VASP
! Total magnetic moment in μB/f.u.: 0.00
! Calculated density in g/cm³: 8.70
! Distance to the lowest polymorph of the same formula in meV/atom: 0
! Formation enthalpy at 0 K in eV per formula unit: 0.2
! Space-group type: P-1, No. 2
&SYSTEM
  ibrav = 0, nat = 12, ntyp = 3
/
ATOMIC_SPECIES
Dy 162.50 Dy.upf
Tb 158.93 Tb.upf
Tm 168.93 Tm.upf
ATOMIC_POSITIONS angstrom
Dy -5.585 -2.092 -3.307
Tb -8.718 0.706 1.126
Tm -5.781 0.373 -0.801
Tm -5.776 -0.569 2.601
Tb 3.032 -1.573 -3.180
Dy 0.097 -1.230 -1.249
Dy -2.844 -0.903 0.673
Dy -8.526 -1.765 -1.385
Tb -2.849 0.038 -2.724
Tb -5.580 -3.033 0.090
Tb -11.461 -1.422 0.546
Tm -2.648 -3.368 -1.833
CELL_PARAMETERS angstrom
-5.884 2.551 -2.949
9.007 -4.407 -4.886
-11.552 -1.139 5.201

=====

! Er8Bi2Os (PBE, optimized geometry); values from VASP
! Total magnetic moment in μB/f.u.: 0.00
! Calculated density in g/cm³: 10.41
! Formation enthalpy at 0 K in eV per formula unit: -3.5
! Space-group type: C2/m, No. 12
&SYSTEM
  ibrav = 0, nat = 11, ntyp = 3
/
ATOMIC_SPECIES
Er 167.26 Er.upf
Os 190.23 Os.upf
Bi 208.98 Bi.upf
ATOMIC_POSITIONS angstrom
Er 0.000 0.999 4.072
Os 2.494 0.000 0.000
Er 2.494 -1.272 8.965
Er 2.494 2.554 1.639
Er 2.494 -0.688 2.646
Bi 2.494 -0.223 5.943
Bi 0.000 4.113 3.392
Er 0.000 4.578 6.690
Er 0.000 1.336 7.696
Er 2.494 2.890 5.264
Er 0.000 5.161 0.370
CELL_PARAMETERS angstrom
4.989 0.000 0.000
0.000 6.675 0.024
-2.494 -2.786 9.312

=====

! Nd2Er3Al (PBE, optimized geometry); values from VASP
! Total magnetic moment in μB/f.u.: 0.00
! Calculated density in g/cm³: 7.72
! Formation enthalpy at 0 K in eV per formula unit: -0.5
! Space-group type: Cmmm, No. 65
&SYSTEM
  ibrav = 0, nat = 6, ntyp = 3
/
ATOMIC_SPECIES
Er 167.26 Er.upf
Nd 144.24 Nd.upf
Al 26.98 Al.upf
ATOMIC_POSITIONS angstrom
Er 0.373 -5.520 -2.615
Nd 2.828 -4.203 -0.620
Er -0.635 -3.373 0.070
Al 0.000 0.000 0.000
Nd 0.859 -1.926 -2.652
Er -2.436 -1.344 -1.999
CELL_PARAMETERS angstrom
-3.949 -2.764 0.727
-0.923 0.076 -4.726
4.610 -6.205 1.454

=====

! CdBiS2Cl (PBE, optimized geometry); values from VASP
! Total magnetic moment in μB/f.u.: 0.00
! Formation energy from raw total energies in meV/atom: -632
! Calculated density in g/cm³: 5.65
! Space-group type: Pnma, No. 62
&SYSTEM
  ibrav = 0, nat = 20, ntyp = 4
/
ATOMIC_SPECIES
Cl 35.45 Cl.upf
Bi 208.98 Bi.upf
S 32.06 S.upf
Cd 112.41 Cd.upf
ATOMIC_POSITIONS angstrom
Cl -2.938 11.100 8.928
Bi -6.528 2.718 1.880
S -6.565 6.874 5.096
Cd -2.934 3.904 3.397
Bi -0.357 6.918 1.307
S -0.594 4.383 2.323
Cl -0.564 7.524 4.718
S -4.175 3.329 0.901
S 1.059 10.822 3.433
Cl -1.309 2.890 -1.202
S -0.072 10.661 6.826
S -3.653 9.608 5.403
Cd 0.791 3.095 0.481
Cd -1.313 10.087 4.330
Cd -5.038 10.896 7.245
S 2.318 7.116 2.630
Bi -3.890 7.072 6.419
Cl -3.683 6.467 3.008
S -5.307 3.168 4.293
Bi 2.280 11.273 5.847
CELL_PARAMETERS angstrom
-1.763 2.199 -2.862
-7.688 1.132 5.604
5.203 10.660 4.985

=====

! Eu2YHo (PBE, optimized geometry); values from VASP
! Total magnetic moment in μB/f.u.: 15.58
! Calculated density in g/cm³: 6.46
! Distance to the lowest polymorph of the same formula in meV/atom: 70
! Formation enthalpy at 0 K in eV per formula unit: 1.0
! Space-group type: R-3m, No. 166
&SYSTEM
  ibrav = 0, nat = 4, ntyp = 3
/
ATOMIC_SPECIES
Eu 151.96 Eu.upf
Y 88.91 Y.upf
Ho 164.93 Ho.upf
ATOMIC_POSITIONS angstrom
Eu 5.376 3.104 3.367
Eu 1.792 1.035 9.517
Y 3.584 2.069 6.442
Ho 0.000 0.000 0.000
CELL_PARAMETERS angstrom
3.584 0.000 0.000
1.792 3.104 0.000
1.792 1.035 12.885

=====

! HoGaSe (PBE, optimized geometry); values from VASP
! Total magnetic moment in μB/f.u.: 0.00
! Formation energy from raw total energies in meV/atom: -808
! Calculated density in g/cm³: 6.63
! Space-group type: Amm2, No. 38
&SYSTEM
  ibrav = 0, nat = 6, ntyp = 3
/
ATOMIC_SPECIES
Ho 164.93 Ho.upf
Se 78.96 Se.upf
Ga 69.72 Ga.upf
ATOMIC_POSITIONS angstrom
Ho 0.000 1.859 10.001
Ho 0.000 1.859 2.175
Se 1.930 0.743 8.256
Ga 1.930 0.746 0.000
Ga 0.000 1.851 6.088
Se 1.930 0.743 3.921
CELL_PARAMETERS angstrom
3.860 0.000 0.000
-1.930 3.343 0.000
0.000 0.000 12.177

=====

! CsTi2Te3 (PBE, optimized geometry); values from VASP
! Total magnetic moment in μB/f.u.: 0.75
! Formation energy from raw total energies in meV/atom: -765
! Calculated density in g/cm³: 5.21
! Space-group type: Cmcm, No. 63
&SYSTEM
  ibrav = 0, nat = 12, ntyp = 3
/
ATOMIC_SPECIES
Ti 47.87 Ti.upf
Te 127.60 Te.upf
Cs 132.91 Cs.upf
ATOMIC_POSITIONS angstrom
Ti 2.909 -7.930 -3.086
Te 0.706 -7.831 -1.551
Te 4.074 -7.930 -0.143
Te -1.349 -2.584 0.163
Te 3.928 -4.195 4.408
Te 0.561 -4.096 3.001
Cs 2.618 -7.741 3.401
Ti 0.000 0.000 0.000
Cs 2.017 -4.285 -0.544
Ti 2.399 -1.899 3.565
Ti 1.725 -4.096 5.944
Te 5.983 -9.442 2.695
CELL_PARAMETERS angstrom
-3.865 -2.013 1.529
3.702 -6.215 -5.802
4.798 -3.798 7.130

=====

! TiCrMo4 (PBE, optimized geometry); values from VASP
! Total magnetic moment in μB/f.u.: 0.00
! Calculated density in g/cm³: 8.83
! Formation enthalpy at 0 K in eV per formula unit: -0.5
! Space-group type: C2/m, No. 12
&SYSTEM
  ibrav = 0, nat = 6, ntyp = 3
/
ATOMIC_SPECIES
Ti 47.87 Ti.upf
Mo 95.94 Mo.upf
Cr 52.00 Cr.upf
ATOMIC_POSITIONS angstrom
Ti -3.594 -2.541 0.223
Mo -6.304 -2.565 0.425
Cr 0.000 0.000 0.000
Mo -4.614 -1.223 -1.924
Mo -5.523 -3.760 -1.868
Mo -5.395 -0.029 0.369
CELL_PARAMETERS angstrom
-3.729 1.294 -1.944
-2.841 -3.792 -2.054
-4.347 -1.291 2.500